Entry from the Alexandria database: a relaxed structure of PmPdAu2O8 (GGA-PBE).

Cell lengths 6.9291, 6.9291, 7.1645 Å; angles 90.00, 90.00, 90.00 degrees
With the nearest neighbours (Å) after each atom.
Space group I-4m2 (No. 119)
Unique sites:
Pm: 0.0000 0.0000 0.0000 (multiplicity 2)  8 O 2.31-2.42
Pd: 0.0000 0.5000 0.7500 (multiplicity 2)  8 O 2.11-2.36
Au: 0.0000 0.0000 0.5000 (multiplicity 2)  4 O 2.09
Au: 0.0000 0.5000 0.2500 (multiplicity 2)  4 O 1.93
O: 0.0000 0.1966 0.7204 (multiplicity 8)  1 Au 2.09, 1 Pd 2.11
O: 0.0000 0.3315 0.0358 (multiplicity 8)  1 Au 1.93

- Energy: -4.95 eV per atom
- Energy relative to the elements, uncorrected: -0.27 eV per atom